Record 1
# RbTlPSe4

A relaxed structure of RbTlPSe4 (GGA-PBE, the Alexandria database).

Lattice parameters (Å, degrees): 7.288 5.979 12.047 90.00 98.42 90.00
Fractional coordinates of all 14 atoms:
Rb 0.741 0.750 0.415
Rb 0.259 0.250 0.585
Tl 0.740 0.750 0.951
Tl 0.260 0.250 0.049
P 0.180 0.750 0.253
P 0.820 0.250 0.747
Se 0.040 0.509 0.808
Se 0.960 0.009 0.192
Se 0.960 0.491 0.192
Se 0.040 0.991 0.808
Se 0.420 0.750 0.163
Se 0.580 0.250 0.837
Se 0.254 0.750 0.435
Se 0.746 0.250 0.565

Calculated values
calculated total energy = -51.661 eV for the cell shown
total magnetic moment = 0.00 μB per formula unit
uncorrected formation energy = -43.40 kJ per mole of atoms



Record 2
# Ce3Ho4TmP8

A relaxed structure of Ce3Ho4TmP8 (GGA-PBE, the Alexandria database).

Lattice parameters (Å, degrees): 8.037 8.031 8.037 120.03 120.00 90.00
Fractional coordinates of all 16 atoms:
Ce 0.500 0.500 0.000
Ce 0.500 0.500 0.500
Ce 0.000 0.500 0.500
Ho 0.500 0.000 0.000
Ho 0.500 0.000 0.500
Ho 0.000 0.000 0.000
Ho 0.000 0.000 0.500
Tm 0.000 0.500 0.000
P 0.249 0.751 0.002
P 0.249 0.751 0.498
P 0.248 0.245 0.497
P 0.753 0.751 0.002
P 0.247 0.249 0.998
P 0.752 0.755 0.503
P 0.751 0.249 0.502
P 0.751 0.249 0.998

Calculated values
calculated total energy = -108.982 eV for the cell shown
total magnetic moment = 1.36 μB per formula unit
ΔE_f = -1.57 eV per atom



Record 3
# GaAs3Au

A relaxed structure of GaAs3Au (GGA-PBE, the Alexandria database).

Lattice parameters (Å, degrees): 5.120 5.120 5.120 90.00 90.00 90.00
Fractional coordinates of all 5 atoms:
As 0.000 0.500 0.000
As 0.000 0.000 0.500
As 0.500 0.000 0.000
Au 0.000 0.000 0.000
Ga 0.500 0.500 0.500

Calculated values
calculated total energy = -16.246 eV for the cell shown
total magnetic moment = 0.00 μB per formula unit
energy relative to the lowest polymorph listed for this composition = 0 meV per atom
ΔE_f = 0.80 eV per atom



Record 4
# Rb3NaHg8

A relaxed structure of Rb3NaHg8 (GGA-PBE, the Alexandria database).

Lattice parameters (Å, degrees): 8.652 8.652 8.652 102.24 113.21 113.21
Fractional coordinates of all 12 atoms:
Rb 0.500 0.750 0.250
Rb 0.500 0.250 0.750
Rb 0.000 0.500 0.500
Na 0.000 0.000 0.000
Hg 0.432 0.137 0.137
Hg 0.568 0.705 0.705
Hg 0.000 0.863 0.295
Hg 0.000 0.295 0.863
Hg 0.314 0.352 0.352
Hg 0.686 0.038 0.038
Hg 0.000 0.648 0.962
Hg 0.000 0.962 0.648

Calculated values
calculated total energy = -8.518 eV for the cell shown
total magnetic moment = 0.00 μB per formula unit
ΔE_f = -0.16 eV per atom